Record 1
The following is a DFT calculation (PBE) of a geometry-optimized Ca3NpZn2N6 structure.

```
data_Ca3NpZn2N6
_chemical_formula_sum 'Ca6 Np2 Zn4 N12'
_space_group_name_H-M_alt 'C 1 2/m 1'
_space_group_IT_number 12
_cell_length_a 5.5524
_cell_length_b 10.5258
_cell_length_c 5.6644
_cell_angle_alpha 90.00
_cell_angle_beta 102.60
_cell_angle_gamma 90.00
loop_
_space_group_symop_operation_xyz
'x,y,z'
'-x,-y,-z'
'-x,y,-z'
'x,-y,z'
'x+1/2,y+1/2,z'
'-x+1/2,-y+1/2,-z'
'-x+1/2,y+1/2,-z'
'x+1/2,-y+1/2,z'
loop_
_atom_site_label
_atom_site_type_symbol
_atom_site_fract_x
_atom_site_fract_y
_atom_site_fract_z
_atom_site_occupancy
Ca1 Ca 0.0000 0.0000 0.0000 1
Ca2 Ca 0.0000 0.3208 0.0000 1
Np1 Np 0.0000 0.5000 0.5000 1
Zn1 Zn 0.0000 0.1949 0.5000 1
N1 N 0.1742 0.5000 0.2438 1
N2 N 0.2438 0.1537 0.2873 1
```

- Theoretical density: 5.9 g cm⁻³
- Crystal system: monoclinic
- Electronic total energy: -6.570 eV per atom
- Calculated volume: 323.1 Å³/cell
- Formation energy from raw total energies: -616 meV/atom

Record 2
The following is a DFT calculation (PBE) of a geometry-optimized Ca4Zr3NpN8 structure.

```
data_Ca4Zr3NpN8
_chemical_formula_sum 'Ca12 Zr9 Np3 N24'
_space_group_name_H-M_alt 'R -3 m'
_space_group_IT_number 166
_space_group_name_Hall '-R 3 2"'
_cell_length_a 6.7211
_cell_length_b 6.7211
_cell_length_c 16.9227
_cell_angle_alpha 90.00
_cell_angle_beta 90.00
_cell_angle_gamma 120.00
loop_
_atom_site_label
_atom_site_type_symbol
_atom_site_fract_x
_atom_site_fract_y
_atom_site_fract_z
_atom_site_occupancy
Ca1 Ca 0.0000 0.0000 0.0000 1
Ca2 Ca 0.0000 0.5000 0.0000 1
Zr1 Zr 0.0000 0.5000 0.5000 1
Np1 Np 0.0000 0.0000 0.5000 1
N1 N 0.0000 0.0000 0.2393 1
N2 N 0.0018 0.5009 0.2381 1
```

- Theoretical density: 5.9 g cm⁻³
- Crystal system: trigonal
- Electronic total energy: -8.487 eV per atom
- Calculated volume: 662.0 Å³/cell
- Formation energy from raw total energies: -1413 meV/atom

Record 3
The following is a DFT calculation (PBE) of a geometry-optimized CaZr2Np3N6 structure.

```
data_CaZr2Np3N6
_chemical_formula_sum 'Ca2 Zr4 Np6 N12'
_space_group_name_H-M_alt 'C 1 2/m 1'
_space_group_IT_number 12
_cell_length_a 14.7920
_cell_length_b 3.3713
_cell_length_c 6.7835
_cell_angle_alpha 90.00
_cell_angle_beta 103.06
_cell_angle_gamma 90.00
loop_
_space_group_symop_operation_xyz
'x,y,z'
'-x,-y,-z'
'-x,y,-z'
'x,-y,z'
'x+1/2,y+1/2,z'
'-x+1/2,-y+1/2,-z'
'-x+1/2,y+1/2,-z'
'x+1/2,-y+1/2,z'
loop_
_atom_site_label
_atom_site_type_symbol
_atom_site_fract_x
_atom_site_fract_y
_atom_site_fract_z
_atom_site_occupancy
Ca1 Ca 0.0000 0.0000 0.0000 1
Zr1 Zr 0.1698 0.5000 0.3392 1
Np1 Np 0.0000 0.0000 0.5000 1
Np2 Np 0.1662 0.5000 0.8331 1
N1 N 0.0039 0.5000 0.2705 1
N2 N 0.1677 0.0000 0.5785 1
N3 N 0.1712 0.0000 0.0928 1
```

- Theoretical density: 10.3 g cm⁻³
- Crystal system: monoclinic
- Electronic total energy: -10.314 eV per atom
- Calculated volume: 329.5 Å³/cell
- Formation energy from raw total energies: -1324 meV/atom

Record 4
The following is a DFT calculation (PBE) of a geometry-optimized Ca4ZrNp3N8 structure.

```
data_Ca4ZrNp3N8
_chemical_formula_sum 'Ca12 Zr3 Np9 N24'
_space_group_name_H-M_alt 'R -3 m'
_space_group_IT_number 166
_space_group_name_Hall '-R 3 2"'
_cell_length_a 6.8872
_cell_length_b 6.8872
_cell_length_c 17.0298
_cell_angle_alpha 90.00
_cell_angle_beta 90.00
_cell_angle_gamma 120.00
loop_
_atom_site_label
_atom_site_type_symbol
_atom_site_fract_x
_atom_site_fract_y
_atom_site_fract_z
_atom_site_occupancy
Ca1 Ca 0.0000 0.0000 0.0000 1
Ca2 Ca 0.0000 0.5000 0.0000 1
Zr1 Zr 0.0000 0.0000 0.5000 1
Np1 Np 0.0000 0.5000 0.5000 1
N1 N 0.0000 0.0000 0.2390 1
N2 N 0.0015 0.5008 0.2377 1
```

- Theoretical density: 7.7 g cm⁻³
- Crystal system: trigonal
- Electronic total energy: -8.865 eV per atom
- Calculated volume: 699.6 Å³/cell
- Formation energy from raw total energies: -1242 meV/atom

Record 5
The following is a DFT calculation (PBE) of a geometry-optimized Ca3Zr2NpN6 structure.

```
data_Ca3Zr2NpN6
_chemical_formula_sum 'Ca6 Zr4 Np2 N12'
_space_group_name_H-M_alt 'C 1 2/m 1'
_space_group_IT_number 12
_cell_length_a 5.8400
_cell_length_b 10.1187
_cell_length_c 5.9590
_cell_angle_alpha 90.00
_cell_angle_beta 109.02
_cell_angle_gamma 90.00
loop_
_space_group_symop_operation_xyz
'x,y,z'
'-x,-y,-z'
'-x,y,-z'
'x,-y,z'
'x+1/2,y+1/2,z'
'-x+1/2,-y+1/2,-z'
'-x+1/2,y+1/2,-z'
'x+1/2,-y+1/2,z'
loop_
_atom_site_label
_atom_site_type_symbol
_atom_site_fract_x
_atom_site_fract_y
_atom_site_fract_z
_atom_site_occupancy
Ca1 Ca 0.0000 0.0000 0.0000 1
Ca2 Ca 0.0000 0.3310 0.0000 1
Zr1 Zr 0.0000 0.1665 0.5000 1
Np1 Np 0.0000 0.5000 0.5000 1
N1 N 0.2364 0.3350 0.7146 1
N2 N 0.2421 0.0000 0.7131 1
```

- Theoretical density: 6.2 g cm⁻³
- Crystal system: monoclinic
- Electronic total energy: -8.558 eV per atom
- Calculated volume: 332.9 Å³/cell
- Formation energy from raw total energies: -1391 meV/atom

Record 6
The following is a DFT calculation (PBE) of a geometry-optimized Ca3NO structure.

```
data_Ca3NO
_chemical_formula_sum 'Ca18 N6 O6'
_space_group_name_H-M_alt 'R 3 2'
_space_group_IT_number 155
_space_group_name_Hall 'R 3 2"'
_cell_length_a 5.9487
_cell_length_b 5.9487
_cell_length_c 18.2867
_cell_angle_alpha 90.00
_cell_angle_beta 90.00
_cell_angle_gamma 120.00
loop_
_atom_site_label
_atom_site_type_symbol
_atom_site_fract_x
_atom_site_fract_y
_atom_site_fract_z
_atom_site_occupancy
Ca1 Ca 0.0062 0.3644 0.4160 1
N1 N 0.0000 0.0000 0.1672 1
O1 O 0.0000 0.0000 0.3580 1
```

- Theoretical density: 2.7 g cm⁻³
- Crystal system: trigonal
- Electronic total energy: -5.134 eV per atom
- Calculated volume: 560.4 Å³/cell
- Formation energy from raw total energies: -1276 meV/atom